Computed, not measured: a relaxed SrAc2Al crystal at the GGA-PBE level of DFT.

Properties
Total energy in eV per formula unit: -13.33
Density in Mg/m³: 6.4
V in A^3/atom: 37.07

abc: 5.9410 5.9410 5.9410
angles: 60.00 60.00 60.00
With the nearest neighbours (Å) after each atom.
Fractional coordinates of all 4 atoms:
Al 0.0000 0.0000 0.0000  8 Ac 3.64
Ac 0.7500 0.7500 0.7500  4 Sr 3.64, 4 Al 3.64
Ac 0.2500 0.2500 0.2500  4 Al 3.64, 4 Sr 3.64
Sr 0.5000 0.5000 0.5000  8 Ac 3.64

---

Computed, not measured: a relaxed SrAc2Al crystal at the GGA-PBE level of DFT.

Properties
Total energy in eV per formula unit: -13.94
Density in Mg/m³: 5.8
V in A^3/atom: 40.54

abc: 4.0201 4.0201 10.0347
angles: 90.00 90.00 90.00
With the nearest neighbours (Å) after each atom.
Fractional coordinates of all 4 atoms:
Ac 0.0000 0.0000 0.8147  4 Al 3.40, 1 Ac 3.72
Ac 0.0000 0.0000 0.1853  4 Al 3.40, 1 Ac 3.72
Al 0.5000 0.5000 0.0000  8 Ac 3.40
Sr 0.5000 0.5000 0.5000  4 Sr 4.02, 8 Ac 4.25

---

Computed, not measured: a relaxed SrAcAl crystal at the GGA-PBE level of DFT.

Properties
Total energy in eV per formula unit: -10.04
Density in Mg/m³: 4.8
V in A^3/atom: 39.63

abc: 4.4312 4.7925 11.4514
angles: 77.92 90.00 90.00
With the nearest neighbours (Å) after each atom.
Fractional coordinates of all 6 atoms:
Al 0.2500 0.5340 0.9320  2 Al 2.69
Al 0.7500 0.4660 0.0680  2 Al 2.69
Ac 0.7500 0.0765 0.8471  6 Al 3.40-3.44
Ac 0.2500 0.9235 0.1529  6 Al 3.40-3.44
Sr 0.7500 0.3092 0.3816  1 Al 3.51
Sr 0.2500 0.6908 0.6184  1 Al 3.51

---

Computed, not measured: a relaxed SrAc2Al crystal at the GGA-PBE level of DFT.

Properties
Total energy in eV per formula unit: -13.49
Density in Mg/m³: 6.3
V in A^3/atom: 37.25

abc: 5.1371 5.3855 5.3855
angles: 90.00 90.00 90.00
With the nearest neighbours (Å) after each atom.
Fractional coordinates of all 4 atoms:
Sr 0.5000 0.0000 0.0000  8 Ac 3.72, 4 Al 3.81
Ac 0.0000 0.0000 0.5000  4 Al 3.72, 4 Sr 3.72, 4 Ac 3.81
Ac 0.0000 0.5000 0.0000  4 Al 3.72, 4 Sr 3.72, 4 Ac 3.81
Al 0.5000 0.5000 0.5000  8 Ac 3.72, 4 Sr 3.81

---

Q: Which value of V does entry 1 give?
A: 37.07 A^3/atom